# InCuC

An optimized crystal structure of InCuC (PBE, Alexandria via LeMat-Bulk).

The calculation puts the uncorrected energy at -4.69 eV per atom. For the total moment, the calculation gives 0.00 Bohr magnetons per cell. Its formation energy from the elements is 658 meV per atom.

It has space group P-1 (No. 2), with a = 3.4756 Å, b = 4.8743 Å, c = 6.1310 Å, α = 67.66°, β = 73.57° and γ = 89.92°. Symmetry generates all atoms from In at (0.1268, 0.2729, 0.2464), Cu at (0.3259, 0.1536, 0.8440) and C at (0.4727, 0.5979, 0.5547).